K2NdI4: relaxed, PBE-GGA.

Unit cell a=10.031 b=10.031 c=10.031 alpha=143.99 beta=143.99 gamma=51.83
Fractional positions:
K 0.134 0.134 0.000
K 0.866 0.866 0.000
Nd 0.500 0.500 0.000
I 0.000 0.500 0.500
I 0.324 0.324 0.000
I 0.500 0.000 0.500
I 0.676 0.676 0.000

Values from the calculation:
Space group: No. 139
Uncorrected energy, eV/atom: -3.14
E_form (uncorrected), meV/atom: -1260
M_tot, μB per formula unit: 0.54
D(E_F), states/eV/f.u.: 3.1
Calculated volume, Å³/f.u.: 347


K3NdI6: relaxed, PBE-GGA.

Unit cell a=8.465 b=9.137 c=14.820 alpha=90.00 beta=123.85 gamma=90.00
Fractional positions:
K 0.000 0.000 0.000
K 0.000 0.500 0.500
K 0.206 0.092 0.744
K 0.206 0.408 0.244
K 0.794 0.592 0.756
K 0.794 0.908 0.256
Nd 0.500 0.000 0.500
Nd 0.500 0.500 0.000
I 0.135 0.178 0.435
I 0.135 0.322 0.935
I 0.259 0.710 0.423
I 0.259 0.790 0.923
I 0.409 0.054 0.266
I 0.409 0.446 0.766
I 0.591 0.554 0.234
I 0.591 0.946 0.734
I 0.741 0.210 0.077
I 0.741 0.290 0.577
I 0.865 0.678 0.065
I 0.865 0.822 0.565

Values from the calculation:
Space group: No. 14
Uncorrected energy, eV/atom: -3.20
E_form (uncorrected), meV/atom: -1460
M_tot, μB per formula unit: 0.00
D(E_F), states/eV/f.u.: 0.0
ΔE to the lowest computed polymorph, meV/atom: 0
Calculated volume, Å³/f.u.: 476


K3Nd3I10: relaxed, PBE-GGA.

Unit cell a=9.288 b=14.414 c=10.004 alpha=90.00 beta=94.55 gamma=90.00
Fractional positions:
K 0.194 0.000 0.213
K 0.268 0.347 0.744
K 0.299 0.321 0.249
K 0.701 0.821 0.751
K 0.732 0.847 0.256
K 0.806 0.500 0.787
Nd 0.163 0.738 0.557
Nd 0.283 0.979 0.692
Nd 0.316 0.652 0.029
Nd 0.684 0.152 0.971
Nd 0.717 0.479 0.308
Nd 0.837 0.238 0.443
I 0.020 0.424 0.457
I 0.038 0.721 0.841
I 0.103 0.752 0.230
I 0.127 0.471 0.007
I 0.188 0.158 0.506
I 0.326 0.138 0.939
I 0.397 0.603 0.727
I 0.401 0.571 0.321
I 0.406 0.864 0.962
I 0.428 0.857 0.479
I 0.572 0.357 0.521
I 0.594 0.364 0.038
I 0.599 0.071 0.679
I 0.603 0.103 0.273
I 0.674 0.638 0.061
I 0.812 0.658 0.494
I 0.873 0.971 0.993
I 0.897 0.252 0.770
I 0.962 0.221 0.159
I 0.980 0.924 0.543

Values from the calculation:
Space group: No. 4
Uncorrected energy, eV/atom: -3.39
E_form (uncorrected), meV/atom: -1324
M_tot, μB per formula unit: 0.02
D(E_F), states/eV/f.u.: 5.2
Calculated volume, Å³/f.u.: 668


K3NdI6: relaxed, PBE-GGA.

Unit cell a=9.119 b=9.119 c=9.119 alpha=60.00 beta=60.00 gamma=60.00
Fractional positions:
K 0.000 0.000 0.000
K 0.250 0.250 0.250
K 0.750 0.750 0.750
Nd 0.500 0.500 0.500
I 0.260 0.260 0.740
I 0.260 0.740 0.260
I 0.260 0.740 0.740
I 0.740 0.260 0.260
I 0.740 0.260 0.740
I 0.740 0.740 0.260

Values from the calculation:
Space group: No. 225
Uncorrected energy, eV/atom: -3.10
E_form (uncorrected), meV/atom: -1365
M_tot, μB per formula unit: 0.00
D(E_F), states/eV/f.u.: 0.0
ΔE to the lowest computed polymorph, meV/atom: 95
Calculated volume, Å³/f.u.: 536


> What is the formula in the third record?

K3Nd3I10